Entry from the Alexandria database: crystalline ScBeGaO4 at its relaxed geometry (GGA-PBE).

Summary:
Its space group is Imma (74). The calculation puts the density of states at the Fermi level at 0.000 states/eV per atom. The raw formation energy is -57.63 kcal/mol of atoms. The value obtained for the total energy is -7.202 eV per atom. As for the spin magnetization: 0.0 μB per cell.

abc: 5.7527 5.8436 5.8436
angles: 60.99 60.51 60.51
Fractional coordinates of all 14 atoms:
O: 0.2572 0.7496 0.2496
O: 0.2547 0.2358 0.2549
O: 0.7428 0.2504 0.7504
O: 0.2547 0.7549 0.7358
O: 0.7453 0.7642 0.7451
O: 0.7453 0.2451 0.2642
O: 0.2563 0.2504 0.7504
O: 0.7437 0.7496 0.2496
Sc: 0.0000 0.0000 0.0000
Sc: 0.0000 0.5000 0.5000
Ga: 0.5000 0.0000 0.5000
Ga: 0.0000 0.0000 0.5000
Be: 0.3889 0.3611 0.8611
Be: 0.6111 0.6389 0.1389



Entry from the Alexandria database: crystalline BeGa2SiO at its relaxed geometry (GGA-PBE).

Summary:
Its space group is P4/mmm (123). The calculation puts the density of states at the Fermi level at 0.285 states/eV per atom. The raw formation energy is 4.86 kcal/mol of atoms. The value obtained for the total energy is -3.822 eV per atom. As for the spin magnetization: 0.0 μB per cell.

abc: 4.7377 3.5697 4.7377
angles: 90.00 90.00 90.00
Fractional coordinates of all 5 atoms:
Ga: 0.5000 0.0000 0.0000
Ga: 0.0000 0.0000 0.5000
Be: 0.5000 0.5000 0.5000
O: 0.0000 0.0000 0.0000
Si: 0.0000 0.5000 0.0000